Compound: Pr8Zn2Cu
Source: Alexandria via LeMat-Bulk
Functional: GGA-PBE
Structure: optimized geometry

Lattice parameters (Å, degrees): 5.1598 8.8118 8.8117 120.00 107.02 90.00
With the nearest neighbours (Å) after each atom.
Atoms (fractional coordinates):
Pr  0.3414  0.1212  0.6829  3 Zn 3.19-3.28, 1 Cu 3.36, 2 Pr 3.47
Cu  0.5000  0.0000  0.0000  8 Pr 3.18-3.36
Pr  0.0000  0.3311  0.0000  1 Pr 2.98, 2 Zn 3.24
Pr  0.0000  0.6689  0.0000  1 Pr 2.98, 2 Zn 3.24
Pr  0.8701  0.8701  0.7403  2 Cu 3.18, 2 Pr 3.46, 2 Zn 3.55
Zn  0.2007  0.7007  0.4014  10 Pr 3.19-3.55
Zn  0.7993  0.2993  0.5986  10 Pr 3.19-3.55
Pr  0.1299  0.1299  0.2597  2 Cu 3.18, 2 Pr 3.46, 2 Zn 3.55
Pr  0.3414  0.5616  0.6828  3 Zn 3.19-3.28, 1 Cu 3.36, 2 Pr 3.47
Pr  0.6586  0.8788  0.3171  3 Zn 3.19-3.28, 1 Cu 3.36, 2 Pr 3.47
Pr  0.6586  0.4384  0.3172  3 Zn 3.19-3.28, 1 Cu 3.36, 2 Pr 3.47

**D(E_F)**: 13.609 states/eV/f.u.
**Spin magnetization**: 0.00 μB per atom
**Energy of formation from the pure elements**: -8 meV/atom
**Relative energy among the computed polymorphs**: 89 meV per atom
**Crystal system**: orthorhombic
**Uncorrected energy**: -4.09 eV/atom

Compound: PrZn6Cu6
Source: Alexandria via LeMat-Bulk
Functional: GGA-PBE
Structure: optimized geometry

Lattice parameters (Å, degrees): 4.9454 6.7271 6.7271 81.54 68.43 68.43
With the nearest neighbours (Å) after each atom.
Atoms (fractional coordinates):
Cu  0.0000  0.5000  0.0000  4 Cu 2.47-2.55, 6 Zn 2.54-2.69
Cu  0.5000  0.2295  0.7705  4 Cu 2.55, 6 Zn 2.69-2.76
Cu  0.5000  0.0000  0.5000  4 Cu 2.47-2.55, 6 Zn 2.54-2.69
Cu  0.5000  0.7705  0.2295  4 Cu 2.55, 6 Zn 2.69-2.76
Zn  0.0000  0.6503  0.3497  3 Zn 2.64-2.89, 6 Cu 2.69
Cu  0.0000  0.0000  0.5000  4 Cu 2.47-2.55, 6 Zn 2.54-2.69
Zn  0.0000  0.3497  0.6503  3 Zn 2.64-2.89, 6 Cu 2.69
Pr  0.0000  0.0000  0.0000  8 Zn 3.07-3.14, 12 Cu 3.19-3.36
Cu  0.5000  0.5000  0.0000  4 Cu 2.47-2.55, 6 Zn 2.54-2.69
Zn  0.7115  0.7885  0.7885  6 Cu 2.54-2.76, 2 Zn 2.77
Zn  0.3528  0.6472  0.6472  3 Zn 2.62-2.77, 6 Cu 2.68-2.71
Zn  0.6472  0.3528  0.3528  3 Zn 2.62-2.77, 6 Cu 2.68-2.71
Zn  0.2885  0.2115  0.2115  6 Cu 2.54-2.76, 2 Zn 2.77

**D(E_F)**: 6.207 states/eV/f.u.
**Spin magnetization**: 0.00 μB per atom
**Energy of formation from the pure elements**: -162 meV/atom
**Crystal system**: orthorhombic
**Uncorrected energy**: -3.01 eV/atom

Compound: Pr3Zn2Cu4
Source: Alexandria via LeMat-Bulk
Functional: GGA-PBE
Structure: optimized geometry

Lattice parameters (Å, degrees): 4.2967 5.5976 8.4938 98.22 90.00 112.57
With the nearest neighbours (Å) after each atom.
Atoms (fractional coordinates):
Zn  0.6795  0.3589  0.7761  5 Cu 2.54-2.57
Cu  0.0834  0.1668  0.6396  2 Zn 2.57, 2 Cu 2.71-2.81
Cu  0.7328  0.4656  0.0788  3 Zn 2.54-2.57, 3 Cu 2.58-2.81
Cu  0.2672  0.5344  0.9212  3 Zn 2.54-2.57, 3 Cu 2.58-2.81
Cu  0.9166  0.8332  0.3604  2 Zn 2.57, 2 Cu 2.71-2.81
Pr  0.0000  0.0000  0.0000  6 Cu 2.94-3.22
Pr  0.3750  0.7500  0.6218  6 Cu 2.93-3.17, 1 Zn 3.22
Zn  0.3205  0.6411  0.2239  5 Cu 2.54-2.57
Pr  0.6250  0.2500  0.3782  6 Cu 2.93-3.17, 1 Zn 3.22

**D(E_F)**: 6.835 states/eV/f.u.
**Spin magnetization**: 0.00 μB per atom
**Energy of formation from the pure elements**: -221 meV/atom
**Relative energy among the computed polymorphs**: 20 meV per atom
**Crystal system**: monoclinic
**Uncorrected energy**: -3.92 eV/atom

Compound: Pr3Zn8Cu
Source: Alexandria via LeMat-Bulk
Functional: GGA-PBE
Structure: optimized geometry

Lattice parameters (Å, degrees): 5.5104 5.5104 9.5547 73.24 73.24 60.00
With the nearest neighbours (Å) after each atom.
Atoms (fractional coordinates):
Pr  0.3783  0.3783  0.8651  12 Zn 3.23-3.32, 4 Pr 3.46-3.51
Zn  0.9407  0.4404  0.6782  6 Zn 2.74-2.79, 1 Cu 2.86
Cu  0.8619  0.8619  0.4142  6 Zn 2.86-3.18
Zn  0.4404  0.9407  0.6782  6 Zn 2.74-2.79, 1 Cu 2.86
Zn  0.1899  0.1899  0.4303  6 Zn 2.71-2.74
Zn  0.9351  0.4388  0.1873  6 Zn 2.71-2.79
Zn  0.9407  0.9407  0.6782  6 Zn 2.74-2.79, 1 Cu 2.86
Zn  0.4388  0.4388  0.1873  6 Zn 2.71-2.79
Zn  0.4388  0.9351  0.1873  6 Zn 2.71-2.79
Pr  0.5062  0.5062  0.4813  12 Zn 3.08-3.28, 3 Cu 3.24
Zn  0.6891  0.6891  0.9327  6 Zn 2.79
Pr  0.9900  0.9900  0.0299  9 Zn 3.10-3.30, 1 Cu 3.46

**D(E_F)**: 4.298 states/eV/f.u.
**Spin magnetization**: 0.00 μB per atom
**Energy of formation from the pure elements**: -211 meV/atom
**Crystal system**: trigonal
**Uncorrected energy**: -2.60 eV/atom

Compound: Pr2ZnCu5
Source: Alexandria via LeMat-Bulk
Functional: GGA-PBE
Structure: optimized geometry

Lattice parameters (Å, degrees): 6.1107 6.1107 6.1107 88.89 120.65 120.65
With the nearest neighbours (Å) after each atom.
Atoms (fractional coordinates):
Pr  0.5000  0.7344  0.2344  10 Cu 3.05-3.10
Pr  0.5000  0.2344  0.7344  10 Cu 3.05-3.10
Cu  0.5855  0.2816  0.2816  3 Cu 2.46-2.51, 1 Zn 2.51
Cu  0.4145  0.6960  0.6960  3 Cu 2.46-2.51, 1 Zn 2.51
Cu  0.0000  0.2929  0.2929  4 Cu 2.46, 1 Zn 2.51
Zn  0.0000  0.0051  0.0051  5 Cu 2.51
Cu  0.0000  0.6960  0.2816  3 Cu 2.46-2.51, 1 Zn 2.51
Cu  0.0000  0.2816  0.6960  3 Cu 2.46-2.51, 1 Zn 2.51

**D(E_F)**: 4.803 states/eV/f.u.
**Spin magnetization**: 0.00 μB per atom
**Energy of formation from the pure elements**: -22 meV/atom
**Relative energy among the computed polymorphs**: 147 meV per atom
**Crystal system**: tetragonal
**Uncorrected energy**: -3.94 eV/atom

Compound: Pr3Zn2Cu3
Source: Alexandria via LeMat-Bulk
Functional: GGA-PBE
Structure: optimized geometry

Lattice parameters (Å, degrees): 5.7082 8.0139 15.3065 90.00 90.00 90.00
With the nearest neighbours (Å) after each atom.
Atoms (fractional coordinates):
Cu  0.3989  0.6784  0.5371  3 Zn 2.45-2.57
Zn  0.6367  0.6117  0.3991  4 Cu 2.45-2.70
Pr  0.8805  0.8208  0.2500  5 Cu 2.99-3.26, 4 Zn 3.16-3.26
Zn  0.1367  0.8883  0.6009  4 Cu 2.45-2.70
Cu  0.3989  0.6784  0.9629  3 Zn 2.45-2.57
Zn  0.1367  0.8883  0.8991  4 Cu 2.45-2.70
Zn  0.8633  0.1117  0.1009  4 Cu 2.45-2.70
Cu  0.8989  0.8216  0.4629  3 Zn 2.45-2.57
Cu  0.6011  0.3216  0.4629  3 Zn 2.45-2.57
Cu  0.6011  0.3216  0.0371  3 Zn 2.45-2.57
Zn  0.6367  0.6117  0.1009  4 Cu 2.45-2.70
Pr  0.8551  0.5462  0.8964  5 Cu 2.99-3.20, 3 Zn 3.08-3.18
Cu  0.3982  0.6740  0.2500  2 Zn 2.70, 1 Pr 2.99
Zn  0.3633  0.3883  0.8991  4 Cu 2.45-2.70
Pr  0.1195  0.1792  0.7500  5 Cu 2.99-3.26, 4 Zn 3.16-3.26
Pr  0.6449  0.0462  0.6036  5 Cu 2.99-3.20, 3 Zn 3.08-3.18
Pr  0.3551  0.9538  0.1036  5 Cu 2.99-3.20, 3 Zn 3.08-3.18
Cu  0.1018  0.1740  0.2500  2 Zn 2.70, 1 Pr 2.99
Cu  0.1011  0.1784  0.9629  3 Zn 2.45-2.57
Pr  0.1449  0.4538  0.1036  5 Cu 2.99-3.20, 3 Zn 3.08-3.18
Pr  0.1449  0.4538  0.3964  5 Cu 2.99-3.20, 3 Zn 3.08-3.18
Cu  0.8982  0.8260  0.7500  2 Zn 2.70, 1 Pr 2.99
Zn  0.8633  0.1117  0.3991  4 Cu 2.45-2.70
Pr  0.6449  0.0462  0.8964  5 Cu 2.99-3.20, 3 Zn 3.08-3.18
Cu  0.8989  0.8216  0.0371  3 Zn 2.45-2.57
Zn  0.3633  0.3883  0.6009  4 Cu 2.45-2.70
Pr  0.8551  0.5462  0.6036  5 Cu 2.99-3.20, 3 Zn 3.08-3.18
Cu  0.1011  0.1784  0.5371  3 Zn 2.45-2.57
Pr  0.3805  0.6792  0.7500  5 Cu 2.99-3.26, 4 Zn 3.16-3.26
Pr  0.3551  0.9538  0.3964  5 Cu 2.99-3.20, 3 Zn 3.08-3.18
Pr  0.6195  0.3208  0.2500  5 Cu 2.99-3.26, 4 Zn 3.16-3.26
Cu  0.6018  0.3260  0.7500  2 Zn 2.70, 1 Pr 2.99

**D(E_F)**: 6.461 states/eV/f.u.
**Spin magnetization**: 0.00 μB per atom
**Energy of formation from the pure elements**: -213 meV/atom
**Relative energy among the computed polymorphs**: 24 meV per atom
**Crystal system**: orthorhombic
**Uncorrected energy**: -3.86 eV/atom

Compound: Pr3Zn4Cu2
Source: Alexandria via LeMat-Bulk
Functional: GGA-PBE
Structure: optimized geometry

Lattice parameters (Å, degrees): 4.5746 5.4868 8.7640 101.58 90.00 114.64
With the nearest neighbours (Å) after each atom.
Atoms (fractional coordinates):
Cu  0.3233  0.6465  0.6582  4 Zn 2.48-2.64
Zn  0.7156  0.4312  0.0716  1 Cu 2.48, 2 Zn 2.77
Cu  0.6767  0.3535  0.3418  4 Zn 2.48-2.64
Zn  0.1039  0.2078  0.4250  3 Cu 2.55-2.64, 1 Zn 2.69
Zn  0.8961  0.7922  0.5750  3 Cu 2.55-2.64, 1 Zn 2.69
Pr  0.0000  0.0000  0.0000  6 Zn 3.04-3.11
Zn  0.2844  0.5688  0.9284  1 Cu 2.48, 2 Zn 2.77
Pr  0.3763  0.7526  0.3030  4 Cu 2.94-3.27, 8 Zn 3.13-3.28
Pr  0.6237  0.2474  0.6970  4 Cu 2.94-3.27, 8 Zn 3.13-3.28

**D(E_F)**: 6.553 states/eV/f.u.
**Spin magnetization**: 0.00 μB per atom
**Energy of formation from the pure elements**: -267 meV/atom
**Relative energy among the computed polymorphs**: 14 meV per atom
**Crystal system**: monoclinic
**Uncorrected energy**: -3.34 eV/atom

Compound: Pr5ZnCu4
Source: Alexandria via LeMat-Bulk
Functional: GGA-PBE
Structure: optimized geometry

Lattice parameters (Å, degrees): 3.6389 3.6389 18.2313 90.00 90.00 90.00
With the nearest neighbours (Å) after each atom.
Atoms (fractional coordinates):
Zn  0.0000  0.0000  0.0000  8 Pr 3.19
Pr  0.5000  0.5000  0.3012  8 Cu 3.14-3.16
Pr  0.5000  0.5000  0.1032  4 Cu 3.14, 4 Zn 3.19
Cu  0.0000  0.0000  0.5984  8 Pr 3.14-3.16
Pr  0.5000  0.5000  0.5000  8 Cu 3.14
Cu  0.0000  0.0000  0.2021  8 Pr 3.14
Cu  0.0000  0.0000  0.7979  8 Pr 3.14
Pr  0.5000  0.5000  0.8968  4 Cu 3.14, 4 Zn 3.19
Cu  0.0000  0.0000  0.4016  8 Pr 3.14-3.16
Pr  0.5000  0.5000  0.6988  8 Cu 3.14-3.16

**D(E_F)**: 9.458 states/eV/f.u.
**Spin magnetization**: 0.00 μB per atom
**Energy of formation from the pure elements**: -155 meV/atom
**Crystal system**: tetragonal
**Uncorrected energy**: -4.31 eV/atom